Entry 1:
Below is a relaxed ZnCr2Ir crystal, with properties calculated at the GGA-PBE level.

Values from the calculation:
**V**: 53.0 Å³ per cell
**Electronic total energy**: -7.35 eV per atom

Lattice parameters (Å, degrees): 2.9967 2.9961 5.9077 90.00 90.00 90.00
Fractional positions:
1 Cr 0.0000 0.0000 0.0190
2 Cr 0.5000 0.5000 0.2258
3 Ir 0.0000 0.0000 0.4984
4 Zn 0.5000 0.5000 0.7568


Entry 2:
Below is a relaxed ZnCrIr2 crystal, with properties calculated at the GGA-PBE level.

Values from the calculation:
**V**: 56.9 Å³ per cell
**Electronic total energy**: -7.10 eV per atom

Lattice parameters (Å, degrees): 2.7180 2.7180 8.7486 90.00 90.00 118.26
Fractional positions:
1 Cr 0.5000 0.5000 0.7500
2 Ir 0.0000 0.0000 0.9919
3 Ir 0.0000 0.0000 0.5081
4 Zn 0.5000 0.5000 0.2500


Entry 3:
Below is a relaxed ZnCr3Ir crystal, with properties calculated at the GGA-PBE level.

Values from the calculation:
**V**: 76.1 Å³ per cell
**Electronic total energy**: -6.09 eV per atom

Lattice parameters (Å, degrees): 4.2383 4.2383 4.2383 90.00 90.00 90.00
Fractional positions:
1 Cr 0.5000 0.0000 0.0000
2 Cr 0.0000 0.5000 0.0000
3 Cr 0.0000 0.0000 0.5000
4 Ir 0.5000 0.5000 0.5000
5 Zn 0.0000 0.0000 0.0000


Entry 4:
Below is a relaxed ZnCrIr2 crystal, with properties calculated at the GGA-PBE level.

Values from the calculation:
**V**: 56.0 Å³ per cell
**Electronic total energy**: -7.21 eV per atom

Lattice parameters (Å, degrees): 3.8437 2.7585 5.9526 62.45 90.00 90.00
Fractional positions:
1 Ir 0.5000 0.2328 0.2673
2 Ir 0.0000 0.0180 0.9815
3 Zn 0.0000 0.5072 0.4933
4 Cr 0.5000 0.7419 0.7578


Entry 5:
Below is a relaxed ZnCrIr2 crystal, with properties calculated at the GGA-PBE level.

Values from the calculation:
**V**: 55.0 Å³ per cell
**Electronic total energy**: -7.32 eV per atom

Lattice parameters (Å, degrees): 2.7731 3.5167 5.6421 90.00 90.00 90.00
Fractional positions:
1 Cr 0.5000 0.5000 0.7500
2 Zn 0.5000 0.5000 0.2500
3 Ir 0.0000 0.0000 0.9936
4 Ir 0.0000 0.0000 0.5064


Entry 6:
Below is a relaxed ZnCrIr2 crystal, with properties calculated at the GGA-PBE level.

Values from the calculation:
**V**: 55.3 Å³ per cell
**Electronic total energy**: -7.12 eV per atom

Lattice parameters (Å, degrees): 2.7273 2.7273 7.4378 90.00 90.00 90.00
Fractional positions:
1 Zn 0.0000 0.0000 0.5040
2 Cr 0.5000 0.5000 0.7588
3 Ir 0.5000 0.5000 0.2534
4 Ir 0.0000 0.0000 0.9839


Entry 7:
Below is a relaxed ZnCr2Ir crystal, with properties calculated at the GGA-PBE level.

Values from the calculation:
**V**: 53.0 Å³ per cell
**Electronic total energy**: -7.22 eV per atom

Lattice parameters (Å, degrees): 8.7451 8.7451 8.7451 17.53 17.53 17.53
Fractional positions:
1 Zn 0.7500 0.7500 0.7500
2 Cr 0.5020 0.5020 0.5020
3 Cr 0.9980 0.9980 0.9980
4 Ir 0.2500 0.2500 0.2500


Entry 8:
Below is a relaxed ZnCr2Ir crystal, with properties calculated at the GGA-PBE level.

Values from the calculation:
**V**: 53.2 Å³ per cell
**Electronic total energy**: -7.24 eV per atom

Lattice parameters (Å, degrees): 2.6454 2.6454 8.3396 90.00 90.00 114.38
Fractional positions:
1 Ir 0.0000 0.0000 0.4884
2 Cr 0.0000 0.0000 0.0211
3 Cr 0.5000 0.5000 0.2319
4 Zn 0.5000 0.5000 0.7586


Entry 9:
Below is a relaxed ZnCrIr2 crystal, with properties calculated at the GGA-PBE level.

Values from the calculation:
**V**: 54.7 Å³ per cell
**Electronic total energy**: -7.39 eV per atom

Lattice parameters (Å, degrees): 2.7526 2.7526 7.2207 90.00 90.00 90.00
Fractional positions:
1 Zn 0.5000 0.5000 0.2500
2 Ir 0.0000 0.0000 0.5148
3 Ir 0.0000 0.0000 0.9852
4 Cr 0.5000 0.5000 0.7500


Entry 10:
Below is a relaxed ZnCrIr crystal, with properties calculated at the GGA-PBE level.

Values from the calculation:
**V**: 40.2 Å³ per cell
**Electronic total energy**: -6.64 eV per atom

Lattice parameters (Å, degrees): 4.6340 4.6340 4.6340 145.47 134.11 58.68
Fractional positions:
1 Zn 0.6657 0.6657 0.0000
2 Cr 0.9928 0.9928 0.0000
3 Ir 0.3415 0.3415 0.0000


Entry 11:
Below is a relaxed ZnCr2Ir crystal, with properties calculated at the GGA-PBE level.

Values from the calculation:
**V**: 117.9 Å³ per cell
**Electronic total energy**: -6.73 eV per atom

Lattice parameters (Å, degrees): 6.8951 6.8951 5.4701 50.93 50.93 90.00
Fractional positions:
1 Ir 0.0000 0.0000 0.0000
2 Ir 0.7500 0.2500 0.5000
3 Cr 0.3750 0.3451 0.7500
4 Cr 0.8750 0.9049 0.7500
5 Cr 0.6549 0.1250 0.2500
6 Cr 0.0951 0.6250 0.2500
7 Zn 0.2500 0.7500 0.5000
8 Zn 0.5000 0.5000 0.0000


Entry 12:
Below is a relaxed ZnCr2Ir crystal, with properties calculated at the GGA-PBE level.

Values from the calculation:
**V**: 54.5 Å³ per cell
**Electronic total energy**: -7.34 eV per atom

Lattice parameters (Å, degrees): 3.0687 4.0774 4.3547 90.00 90.00 90.00
Fractional positions:
1 Cr 0.5000 0.5000 0.0000
2 Cr 0.0000 0.0000 0.0000
3 Zn 0.0000 0.5000 0.5000
4 Ir 0.5000 0.0000 0.5000


Entry 13:
Below is a relaxed ZnCr3Ir crystal, with properties calculated at the GGA-PBE level.

Values from the calculation:
**V**: 107.3 Å³ per cell
**Electronic total energy**: -6.62 eV per atom

Lattice parameters (Å, degrees): 4.7525 4.7525 4.7525 90.00 90.00 90.00
Fractional positions:
1 Zn 0.5000 0.5000 0.5000
2 Cr 0.5000 0.0000 0.0000
3 Cr 0.0000 0.5000 0.0000
4 Cr 0.0000 0.0000 0.5000
5 Ir 0.0000 0.0000 0.0000


Entry 14:
Below is a relaxed ZnCrIr3 crystal, with properties calculated at the GGA-PBE level.

Values from the calculation:
**V**: 91.2 Å³ per cell
**Electronic total energy**: -5.99 eV per atom

Lattice parameters (Å, degrees): 4.5014 4.5014 4.5014 90.00 90.00 90.00
Fractional positions:
1 Cr 0.5000 0.5000 0.5000
2 Ir 0.0000 0.5000 0.0000
3 Ir 0.5000 0.0000 0.0000
4 Ir 0.0000 0.0000 0.5000
5 Zn 0.0000 0.0000 0.0000


Entry 15:
Below is a relaxed ZnCr4Ir crystal, with properties calculated at the GGA-PBE level.

Values from the calculation:
**V**: 75.5 Å³ per cell
**Electronic total energy**: -8.01 eV per atom

Lattice parameters (Å, degrees): 4.7451 4.7451 4.7451 60.00 60.00 60.00
Fractional positions:
1 Cr 0.6279 0.6279 0.1162
2 Cr 0.1162 0.6279 0.6279
3 Cr 0.6279 0.6279 0.6279
4 Cr 0.6279 0.1162 0.6279
5 Ir 0.2500 0.2500 0.2500
6 Zn 0.0000 0.0000 0.0000


Entry 16:
Below is a relaxed ZnCrIr2 crystal, with properties calculated at the GGA-PBE level.

Values from the calculation:
**V**: 55.8 Å³ per cell
**Electronic total energy**: -7.24 eV per atom

Lattice parameters (Å, degrees): 3.4155 4.0412 4.0412 90.00 90.00 90.00
Fractional positions:
1 Ir 0.0000 0.5000 0.5000
2 Ir 0.0000 0.0000 0.0000
3 Cr 0.5000 0.0000 0.5000
4 Zn 0.5000 0.5000 0.0000


Entry 17:
Below is a relaxed ZnCr2Ir crystal, with properties calculated at the GGA-PBE level.

Values from the calculation:
**V**: 51.6 Å³ per cell
**Electronic total energy**: -7.32 eV per atom

Lattice parameters (Å, degrees): 2.6321 3.8753 5.0588 90.00 90.00 90.00
Fractional positions:
1 Ir 0.5000 0.5000 0.2500
2 Cr 0.0000 0.0000 0.5082
3 Cr 0.0000 0.0000 0.9918
4 Zn 0.5000 0.5000 0.7500


Entry 18:
Below is a relaxed ZnCrIr2 crystal, with properties calculated at the GGA-PBE level.

Values from the calculation:
**V**: 55.6 Å³ per cell
**Electronic total energy**: -7.13 eV per atom

Lattice parameters (Å, degrees): 8.8402 8.8402 8.8402 17.68 17.68 17.68
Fractional positions:
1 Ir 0.2484 0.2484 0.2484
2 Ir 0.0049 0.0049 0.0049
3 Cr 0.7479 0.7479 0.7479
4 Zn 0.4987 0.4987 0.4987


Entry 19:
Below is a relaxed ZnCrIr3 crystal, with properties calculated at the GGA-PBE level.

Values from the calculation:
**V**: 90.2 Å³ per cell
**Electronic total energy**: -6.28 eV per atom

Lattice parameters (Å, degrees): 4.4839 4.4839 4.4839 90.00 90.00 90.00
Fractional positions:
1 Zn 0.5000 0.5000 0.5000
2 Ir 0.5000 0.0000 0.0000
3 Ir 0.0000 0.5000 0.0000
4 Ir 0.0000 0.0000 0.5000
5 Cr 0.0000 0.0000 0.0000


Entry 20:
Below is a relaxed ZnCr2Ir crystal, with properties calculated at the GGA-PBE level.

Values from the calculation:
**V**: 51.5 Å³ per cell
**Electronic total energy**: -7.30 eV per atom

Lattice parameters (Å, degrees): 4.9544 4.9544 4.0546 65.85 65.85 34.95
Fractional positions:
1 Cr 0.5019 0.5019 0.4981
2 Cr 0.9981 0.9981 0.0019
3 Zn 0.7500 0.7500 0.7500
4 Ir 0.2500 0.2500 0.2500


no.,calculated formation energy (eV per atom)
1,-0.007
2,0.053
3,1.712
4,-0.059
5,-0.161
6,0.038
7,0.130
8,0.108
9,-0.233
10,-0.056
11,0.615
12,0.002
13,1.178
14,1.505
15,0.095
16,-0.083
17,0.026
18,0.028
19,1.211
20,0.042